Record 1
19
Lattice="-3.056 3.605 5.445 -2.524 -6.693 0.908 6.863 -0.585 2.132" Properties=species:S:1:pos:R:3 comment="NaHg6Pd12, relaxed, DFT GGA-PBE" mass_density_g_cm3=12.15 space_group=R-3m total_energy_ev_per_cell=-66.1 delta_e_f_mev_per_atom=-33.0 pbc="T T T"
Na 0.000 0.000 0.000
Hg -0.753 -2.906 6.503
Hg -0.599 0.344 2.861
Hg -0.455 -2.390 1.656
Hg 2.036 -0.767 1.982
Hg 1.881 -4.016 5.624
Hg 1.738 -1.283 6.829
Pd -0.701 -0.066 5.683
Pd -0.484 -4.202 3.860
Pd 3.285 -1.746 4.353
Pd 1.983 -3.607 2.803
Pd 1.767 0.529 4.626
Pd -2.003 -1.926 4.133
Pd -3.125 -1.491 6.672
Pd -2.662 -4.000 2.095
Pd -0.462 2.508 4.579
Pd 4.407 -2.182 1.813
Pd 3.945 0.327 6.391
Pd 1.745 -6.181 3.906

=====

Record 2
10
Lattice="-2.646 0.000 -4.758 -2.403 -4.902 1.336 -4.015 6.648 5.348" Properties=species:S:1:pos:R:3 comment="ZnHg2Pb2, relaxed, DFT GGA-PBE" mass_density_g_cm3=11.15 space_group=Ibam e_above_lowest_polymorph_kj_per_mol_fu=0.0 total_energy_ev_per_cell=-18.0 delta_e_f_mev_per_atom=63.3 pbc="T T T"
Zn -3.186 -2.451 -2.900
Zn -1.863 -2.451 -0.521
Hg -4.621 5.219 2.570
Hg -4.443 -3.473 -0.644
Hg -1.440 -0.045 0.801
Hg -7.624 1.791 1.125
Pb -4.116 -1.783 2.289
Pb -4.948 3.529 -0.363
Pb -4.522 1.700 2.515
Pb -4.542 0.046 -0.589

=====

Record 3
16
Lattice="8.154 0.000 0.000 0.000 9.038 0.619 -4.077 -4.074 5.768" Properties=species:S:1:pos:R:3 comment="Rb4NpU3S8, relaxed, DFT GGA-PBE" mass_density_g_cm3=5.77 e_form_raw_mev_per_atom=-1361 space_group=R-3m total_energy_ev_per_cell=-105.5 pbc="T T T"
Rb 4.077 0.000 0.000
Rb 2.038 -2.037 2.884
Rb 0.000 0.000 0.000
Rb -2.038 -2.037 2.884
Np 0.000 4.519 0.310
U 4.077 4.519 0.310
U 2.038 2.482 3.194
U -2.038 2.482 3.194
S -2.026 2.348 5.971
S 0.000 4.372 3.106
S 0.000 0.580 3.291
S 2.026 2.348 5.971
S 2.051 2.617 0.416
S 4.077 4.385 3.096
S 4.077 0.592 3.282
S 6.103 2.617 0.416

=====

Record 4
4
Lattice="-4.209 -0.522 1.776 0.736 -3.014 -3.394 1.075 -1.955 1.970" Properties=species:S:1:pos:R:3 comment="ReNi2Te, relaxed, DFT GGA-PBE" mass_density_g_cm3=12.18 e_form_raw_mev_per_atom=459 space_group=Cmmm total_energy_ev_per_cell=-25.3 pbc="T T T"
Ni 0.000 0.000 0.000
Ni -1.737 -1.768 -0.809
Re -1.567 -1.238 1.873
Te 0.906 -2.484 -0.712

=====

Record 5
5
Lattice="-2.191 -4.410 1.300 2.148 0.107 3.984 -3.911 2.545 2.041" Properties=species:S:1:pos:R:3 comment="LiLaCuSb2, relaxed, DFT GGA-PBE" mass_density_g_cm3=6.40 e_form_raw_mev_per_atom=-278 space_group=P4/mmm total_energy_ev_per_cell=-20.6 pbc="T T T"
Sb -1.955 1.273 1.020
Sb -1.096 -2.205 0.650
Li 0.000 0.000 0.000
Cu 1.074 0.053 1.992
La -1.977 -0.879 3.662

=====

Record 6
5
Lattice="-1.014 5.814 4.905 -3.737 -4.691 4.788 5.631 -1.492 2.933" Properties=species:S:1:pos:R:3 comment="Cs2RbBaBr, relaxed, DFT GGA-PBE" mass_density_g_cm3=2.46 e_form_raw_mev_per_atom=-574 space_group=P4/mmm total_energy_ev_per_cell=-9.1 pbc="T T T"
Cs -1.868 -2.345 2.394
Cs -0.507 2.907 2.452
Br 0.000 0.000 0.000
Ba 2.815 -0.746 1.466
Rb 0.440 -0.185 6.312

=====

Record 7
4
Lattice="-3.706 0.036 2.936 0.644 -0.721 4.628 -0.565 3.569 3.050" Properties=species:S:1:pos:R:3 comment="Ta3Cd, relaxed, DFT GGA-PBE" mass_density_g_cm3=14.56 space_group=Fm-3m e_above_lowest_polymorph_kj_per_mol_fu=83.7 total_energy_ev_per_cell=-35.1 delta_e_f_mev_per_atom=333.3 pbc="T T T"
Cd 0.000 0.000 0.000
Ta -0.907 0.721 2.653
Ta -1.814 1.442 5.307
Ta -2.720 2.163 7.960

=====

Record 8
10
Lattice="2.397 -10.289 0.000 2.397 10.289 0.000 0.000 0.000 5.285" Properties=species:S:1:pos:R:3 comment="RbGa3Tc, relaxed, DFT GGA-PBE" mass_density_g_cm3=5.00 space_group=Cmcm e_above_lowest_polymorph_kj_per_mol_fu=147.3 total_energy_ev_per_cell=-39.2 delta_e_f_mev_per_atom=161.9 pbc="T T T"
Ga 3.574 2.255 1.321
Ga 1.220 2.255 1.321
Ga 3.574 -2.255 3.964
Ga 1.220 -2.255 3.964
Ga 0.000 0.000 0.000
Ga 0.000 0.000 2.642
Tc 2.397 -0.039 1.321
Tc 2.397 0.039 3.964
Rb 2.397 6.193 1.321
Rb 2.397 -6.193 3.964

=====

Record 9
8
Lattice="9.804 0.000 0.000 0.000 9.804 0.000 4.902 4.902 2.627" Properties=species:S:1:pos:R:3 comment="Ca2YCo, relaxed, DFT GGA-PBE" mass_density_g_cm3=3.00 space_group=I-42d e_above_lowest_polymorph_kj_per_mol_fu=110.8 total_energy_ev_per_cell=-32.4 delta_e_f_mev_per_atom=338.6 pbc="T T T"
Y 0.000 0.000 0.000
Y 9.804 4.902 1.314
Ca 6.130 2.451 0.657
Ca 3.674 7.353 0.657
Ca 7.353 8.576 1.971
Ca 12.255 11.032 1.971
Co 4.902 4.902 0.000
Co 4.902 9.804 1.314

=====

Record 10
6
Lattice="4.017 0.001 0.000 2.006 5.228 0.001 0.040 2.749 9.383" Properties=species:S:1:pos:R:3 comment="SiGeCl, relaxed, DFT GGA-PBE" mass_density_g_cm3=2.30 e_form_raw_mev_per_atom=-337 space_group=P-1 e_above_lowest_polymorph_kj_per_mol_fu=33.4 total_energy_ev_per_cell=-25.8 pbc="T T T"
Si 1.026 1.839 5.972
Si 5.037 6.139 3.412
Ge 3.034 2.798 5.004
Ge 3.029 5.180 4.380
Cl 3.032 1.201 1.361
Cl 3.030 6.777 8.023

=====

Record 11
5
Lattice="-5.885 -0.351 -1.398 0.770 -5.733 -1.803 -1.218 -1.929 5.613" Properties=species:S:1:pos:R:3 comment="YPb3I, relaxed, DFT GGA-PBE" mass_density_g_cm3=6.25 e_form_raw_mev_per_atom=346 space_group=Pm-3m e_above_lowest_polymorph_kj_per_mol_fu=0.0 total_energy_ev_per_cell=-17.4 pbc="T T T"
Pb 0.385 -2.866 -0.902
Pb -0.609 -0.965 2.807
Pb -2.943 -0.176 -0.699
I -3.167 -4.007 1.206
Y 0.000 0.000 0.000

=====

Record 12
12
Lattice="-0.347 3.639 4.066 3.871 -3.648 7.272 6.202 3.979 0.645" Properties=species:S:1:pos:R:3 comment="LaTm7Al4, relaxed, DFT GGA-PBE" mass_density_g_cm3=7.41 space_group=C2/m total_energy_ev_per_cell=-51.7 delta_e_f_mev_per_atom=-45.9 pbc="T T T"
La 0.000 0.000 0.000
Tm 6.554 1.868 9.917
Tm 3.172 2.102 2.066
Tm 3.937 -0.946 4.860
Tm 5.789 4.916 7.123
Tm 7.060 1.779 6.364
Tm -0.174 1.820 2.033
Tm 2.666 2.191 5.619
Al 4.775 3.775 4.381
Al 4.951 0.195 7.601
Al 8.406 3.907 8.250
Al 1.320 0.063 3.733